No. 1
This record from Alexandria via LeMat-Bulk describes Zr2ReCl after structural relaxation. The functional is PBE-GGA.

Geometry as CIF:
```
data_Zr2ReCl
_chemical_formula_sum 'Zr2 Re1 Cl1'
_cell_length_a 5.530
_cell_length_b 5.530
_cell_length_c 4.564
_cell_angle_alpha 97.20
_cell_angle_beta 97.20
_cell_angle_gamma 33.57
_symmetry_space_group_name_H-M 'P 1'
_symmetry_Int_Tables_number 1
_symmetry_space_group_name_Hall 'P 1'
loop_
_atom_site_label
_atom_site_fract_x
_atom_site_fract_y
_atom_site_fract_z
Cl1 0.481 0.481 0.591
Re1 0.274 0.274 0.154
Zr1 0.015 0.015 0.093
Zr2 0.730 0.730 0.663
```

Values from the calculation:
Formation energy (no corrections): -0.1308 eV/atom
Polymorph energy (0 for the lowest one): 0.505 eV per atom
Size of the total moment: 0.0 μB per cell


No. 2
This record from Alexandria via LeMat-Bulk describes Tl2MoBr after structural relaxation. The functional is PBE-GGA.

Geometry as CIF:
```
data_Tl2MoBr
_chemical_formula_sum 'Tl2 Mo1 Br1'
_cell_length_a 3.215
_cell_length_b 3.215
_cell_length_c 9.695
_cell_angle_alpha 90.00
_cell_angle_beta 90.00
_cell_angle_gamma 90.00
_symmetry_space_group_name_H-M 'P 1'
_symmetry_Int_Tables_number 1
_symmetry_space_group_name_Hall 'P 1'
loop_
_atom_site_label
_atom_site_fract_x
_atom_site_fract_y
_atom_site_fract_z
Tl1 0.000 0.000 0.952
Tl2 0.500 0.500 0.230
Mo1 0.500 0.500 0.735
Br1 0.000 0.000 0.583
```

Values from the calculation:
Formation energy (no corrections): 0.3918 eV/atom
Polymorph energy (0 for the lowest one): 0.122 eV per atom
Size of the total moment: 1.0 μB per cell


No. 3
This record from Alexandria via LeMat-Bulk describes CsReRuN2 after structural relaxation. The functional is PBE-GGA.

Geometry as CIF:
```
data_CsReRuN2
_chemical_formula_sum 'Cs1 Re1 Ru1 N2'
_cell_length_a 3.876
_cell_length_b 7.092
_cell_length_c 3.876
_cell_angle_alpha 90.00
_cell_angle_beta 90.00
_cell_angle_gamma 90.00
_symmetry_space_group_name_H-M 'P 1'
_symmetry_Int_Tables_number 1
_symmetry_space_group_name_Hall 'P 1'
loop_
_atom_site_label
_atom_site_fract_x
_atom_site_fract_y
_atom_site_fract_z
Cs1 0.000 0.500 0.000
Re1 0.000 0.000 0.000
N1 0.000 0.000 0.500
N2 0.500 0.000 0.000
Ru1 0.500 0.500 0.500
```

Values from the calculation:
Formation energy (no corrections): 1.6608 eV/atom
Size of the total moment: 1.7 μB per cell


No. 4
This record from Alexandria via LeMat-Bulk describes K4Cd3Au after structural relaxation. The functional is PBE-GGA.

Geometry as CIF:
```
data_K4Cd3Au
_chemical_formula_sum 'K4 Cd3 Au1'
_cell_length_a 5.167
_cell_length_b 4.854
_cell_length_c 12.677
_cell_angle_alpha 90.00
_cell_angle_beta 90.00
_cell_angle_gamma 90.00
_symmetry_space_group_name_H-M 'P 1'
_symmetry_Int_Tables_number 1
_symmetry_space_group_name_Hall 'P 1'
loop_
_atom_site_label
_atom_site_fract_x
_atom_site_fract_y
_atom_site_fract_z
K1 0.500 0.500 0.337
K2 0.000 0.500 0.868
K3 0.000 0.000 0.141
K4 0.500 0.000 0.650
Au1 0.500 0.500 0.060
Cd1 0.000 0.500 0.564
Cd2 0.000 0.000 0.434
Cd3 0.500 0.000 0.945
```

Values from the calculation:
Size of the total moment: 0.0 μB per cell
DFT formation energy: -142 meV per atom


Q: What is the formula in the fourth record?
A: K4Cd3Au